Here is Mo2AuBr at its PBEsol-relaxed geometry from Alexandria. Energies are from SCAN.

Geometry as extended XYZ:
```
4
Lattice="2.9292 0.0000 0.0000 1.4646 2.5367 0.0000 1.4646 0.8456 8.7465" Properties=species:S:1:pos:R:3 pbc="T T T"
Br 0.0000 0.0000 0.0000
Au 2.9292 1.6912 4.3732
Mo 4.3937 2.5367 6.6310
Mo 1.4646 0.8456 2.1154
```

Properties
Calculated density = 12.0 g cm⁻³
Space group = No. 166
Distance to the lowest polymorph of the same formula = 0 meV per atom
VASP energy = -38.922 eV/atom
ΔE_f (raw) = 2.7 eV per formula unit